1.
Pr3GaRu3 | PBE | optimized geometry

Lattice parameters (Å, degrees): 4.296 10.833 13.648 90.00 90.00 90.00
Space group Cmcm (No. 63)
Inequivalent atoms, fractional coordinates:
Pr (0.000, 0.003, 0.250) [4 per cell]
Pr (0.000, 0.294, 0.105) [8 per cell]
Ga (0.000, 0.000, 0.000) [4 per cell]
Ru (0.000, 0.295, 0.750) [4 per cell]
Ru (0.000, 0.420, 0.594) [8 per cell]

Values from the calculation:
Energy of formation from the pure elements (eV/atom): -0.29

2.
Pr5GaRu2 | PBE | optimized geometry

Lattice parameters (Å, degrees): 7.943 7.943 13.835 90.00 90.00 90.00
Space group I4/mcm (No. 140)
Inequivalent atoms, fractional coordinates:
Pr (0.000, 0.000, 0.000) [4 per cell]
Pr (0.166, 0.334, 0.137) [16 per cell]
Ga (0.000, 0.000, 0.250) [4 per cell]
Ru (0.134, 0.366, 0.500) [8 per cell]

Values from the calculation:
Energy of formation from the pure elements (eV/atom): -0.27

3.
Pr3Ga7Ru2 | PBE | optimized geometry

Lattice parameters (Å, degrees): 4.714 23.290 4.736 90.00 90.00 90.00
Space group Cmmm (No. 65)
Inequivalent atoms, fractional coordinates:
Pr (0.000, 0.000, 0.000) [2 per cell]
Pr (0.000, 0.185, 0.000) [4 per cell]
Ga (0.000, 0.097, 0.500) [4 per cell]
Ga (0.000, 0.284, 0.500) [4 per cell]
Ga (0.000, 0.405, 0.000) [4 per cell]
Ga (0.000, 0.500, 0.500) [2 per cell]
Ru (0.000, 0.397, 0.500) [4 per cell]

Values from the calculation:
Energy of formation from the pure elements (eV/atom): -0.50

4.
Pr5GaRu | PBE | optimized geometry

Lattice parameters (Å, degrees): 9.943 7.545 11.845 90.00 106.78 90.00
Space group C2/c (No. 15)
Inequivalent atoms, fractional coordinates:
Pr (0.000, 0.027, 0.250) [4 per cell]
Pr (0.116, 0.331, 0.551) [8 per cell]
Pr (0.249, 0.180, 0.134) [8 per cell]
Ga (0.000, 0.435, 0.250) [4 per cell]
Ru (0.000, 0.000, 0.000) [4 per cell]

Values from the calculation:
Energy of formation from the pure elements (eV/atom): -0.12

5.
PrGa2Ru | PBE | optimized geometry

Lattice parameters (Å, degrees): 4.2644 4.2644 15.7462 90.00 90.00 120.00
Space group R-3m (No. 166, hexagonal axes)
Inequivalent atoms, fractional coordinates:
Pr (0.0000, 0.0000, 0.0000) [3 per cell]
Ga (0.0000, 0.0000, 0.2118) [6 per cell]
Ru (0.0000, 0.0000, 0.5000) [3 per cell]

Values from the calculation:
Energy of formation from the pure elements (eV/atom): -0.48

6.
Pr3Ga2Ru2 | PBE | optimized geometry

Lattice parameters (Å, degrees): 5.765 8.010 14.040 90.00 90.00 90.00
Space group Pbcm (No. 57)
Inequivalent atoms, fractional coordinates:
Pr (0.125, 0.241, 0.250) [4 per cell]
Pr (0.346, 0.598, 0.096) [8 per cell]
Ga (0.123, 0.250, 0.000) [4 per cell]
Ga (0.364, 0.605, 0.750) [4 per cell]
Ru (0.143, 0.531, 0.593) [8 per cell]

Values from the calculation:
Energy of formation from the pure elements (eV/atom): -0.45

7.
Pr4Ga3Ru | PBE | optimized geometry

Lattice parameters (Å, degrees): 4.294 4.370 11.064 90.00 90.00 90.00
Space group Pmm2 (No. 25)
Inequivalent atoms, fractional coordinates:
Pr (0.000, 0.000, 0.000) [1 per cell]
Pr (0.000, 0.500, 0.479) [1 per cell]
Pr (0.500, 0.000, 0.703) [1 per cell]
Pr (0.500, 0.500, 0.206) [1 per cell]
Ga (0.000, 0.500, 0.776) [1 per cell]
Ga (0.500, 0.000, 0.410) [1 per cell]
Ga (0.500, 0.500, 0.918) [1 per cell]
Ru (0.000, 0.000, 0.277) [1 per cell]

Values from the calculation:
Energy of formation from the pure elements (eV/atom): -0.48

8.
Pr3Ga4Ru2 | PBE | optimized geometry

Lattice parameters (Å, degrees): 10.575 4.543 8.498 90.00 104.23 90.00
Space group C2/m (No. 12)
Inequivalent atoms, fractional coordinates:
Pr (0.000, 0.000, 0.000) [2 per cell]
Pr (0.122, 0.500, 0.696) [4 per cell]
Ga (0.101, 0.000, 0.411) [4 per cell]
Ga (0.218, 0.500, 0.080) [4 per cell]
Ru (0.185, 0.500, 0.362) [4 per cell]

Values from the calculation:
Energy of formation from the pure elements (eV/atom): -0.52

9.
Pr2Ga4Ru3 | PBE | optimized geometry

Lattice parameters (Å, degrees): 6.006 14.962 7.540 90.00 90.00 90.00
Space group Cmce (No. 64)
Inequivalent atoms, fractional coordinates:
Pr (0.000, 0.120, 0.091) [8 per cell]
Ga (0.000, 0.179, 0.486) [8 per cell]
Ga (0.250, 0.055, 0.750) [8 per cell]
Ru (0.000, 0.000, 0.500) [4 per cell]
Ru (0.250, 0.228, 0.750) [8 per cell]

Values from the calculation:
Energy of formation from the pure elements (eV/atom): -0.44

10.
Pr2Ga6Ru | PBE | optimized geometry

Lattice parameters (Å, degrees): 6.0740 6.0740 5.6247 90.00 90.00 120.00
Space group P-3m1 (No. 164)
Inequivalent atoms, fractional coordinates:
Pr (0.3333, 0.6667, 0.1884) [2 per cell]
Ga (0.1723, 0.3446, 0.6852) [6 per cell]
Ru (0.0000, 0.0000, 0.0000) [1 per cell]

Values from the calculation:
Energy of formation from the pure elements (eV/atom): -0.52
Offset from the most stable computed form (eV per formula unit): 0.57

11.
Pr6GaRu | PBE | optimized geometry

Lattice parameters (Å, degrees): 6.959 6.971 7.776 90.07 116.51 119.94
Space group P-1 (No. 2)
Inequivalent atoms, fractional coordinates:
Pr (0.025, 0.080, 0.248) [2 per cell]
Pr (0.304, 0.723, 0.248) [2 per cell]
Pr (0.331, 0.555, 0.752) [2 per cell]
Ga (0.500, 0.000, 0.000) [1 per cell]
Ru (0.500, 0.500, 0.500) [1 per cell]

Values from the calculation:
Energy of formation from the pure elements (eV/atom): -0.04

12.
Pr7Ga2Ru2 | PBE | optimized geometry

Lattice parameters (Å, degrees): 8.012 11.430 7.143 90.00 90.00 90.00
Space group Cmmm (No. 65)
Inequivalent atoms, fractional coordinates:
Pr (0.000, 0.000, 0.000) [2 per cell]
Pr (0.000, 0.500, 0.259) [4 per cell]
Pr (0.250, 0.250, 0.262) [8 per cell]
Ga (0.160, 0.000, 0.500) [4 per cell]
Ru (0.000, 0.302, 0.000) [4 per cell]

Values from the calculation:
Energy of formation from the pure elements (eV/atom): -0.20

13.
Pr2Ga3Ru | PBE | optimized geometry

Lattice parameters (Å, degrees): 4.511 5.485 11.089 90.00 90.00 90.00
Space group Immm (No. 71)
Inequivalent atoms, fractional coordinates:
Pr (0.000, 0.000, 0.199) [4 per cell]
Ga (0.000, 0.500, 0.114) [4 per cell]
Ga (0.000, 0.500, 0.500) [2 per cell]
Ru (0.000, 0.000, 0.500) [2 per cell]

Values from the calculation:
Energy of formation from the pure elements (eV/atom): -0.27

14.
Pr2Ga7Ru | PBE | optimized geometry

Lattice parameters (Å, degrees): 4.229 4.229 10.996 90.00 90.00 90.00
Space group P-4m2 (No. 115)
Inequivalent atoms, fractional coordinates:
Pr (0.000, 0.500, 0.248) [2 per cell]
Ga (0.000, 0.000, 0.000) [1 per cell]
Ga (0.000, 0.000, 0.500) [1 per cell]
Ga (0.000, 0.500, 0.641) [2 per cell]
Ga (0.000, 0.500, 0.871) [2 per cell]
Ga (0.500, 0.500, 0.500) [1 per cell]
Ru (0.500, 0.500, 0.000) [1 per cell]

Values from the calculation:
Energy of formation from the pure elements (eV/atom): -0.45

15.
Pr3Ga3Ru2 | PBE | optimized geometry

Lattice parameters (Å, degrees): 4.561 10.495 14.813 90.00 90.00 90.00
Space group Cmcm (No. 63)
Inequivalent atoms, fractional coordinates:
Pr (0.000, 0.093, 0.250) [4 per cell]
Pr (0.000, 0.405, 0.109) [8 per cell]
Ga (0.000, 0.116, 0.043) [8 per cell]
Ga (0.000, 0.215, 0.750) [4 per cell]
Ru (0.000, 0.288, 0.582) [8 per cell]

Values from the calculation:
Energy of formation from the pure elements (eV/atom): -0.51

16.
Pr8GaRu2 | PBE | optimized geometry

Lattice parameters (Å, degrees): 8.784 13.731 5.791 90.00 106.75 90.00
Space group Cm (No. 8)
Inequivalent atoms, fractional coordinates:
Pr (0.000, 0.000, 0.000) [2 per cell]
Pr (0.090, 0.375, 0.750) [4 per cell]
Pr (0.180, 0.125, 0.631) [4 per cell]
Pr (0.272, 0.500, 0.382) [2 per cell]
Pr (0.385, 0.238, 0.191) [4 per cell]
Ga (0.386, 0.000, 0.188) [2 per cell]
Ru (0.386, 0.294, 0.691) [4 per cell]

Values from the calculation:
Energy of formation from the pure elements (eV/atom): -0.11

17.
Pr2Ga5Ru3 | PBE | optimized geometry

Lattice parameters (Å, degrees): 10.003 12.991 5.831 90.00 90.00 90.00
Space group Ibam (No. 72)
Inequivalent atoms, fractional coordinates:
Pr (0.228, 0.142, 0.000) [8 per cell]
Ga (0.000, 0.000, 0.250) [4 per cell]
Ga (0.000, 0.298, 0.250) [8 per cell]
Ga (0.181, 0.415, 0.000) [8 per cell]
Ru (0.000, 0.500, 0.250) [4 per cell]
Ru (0.081, 0.150, 0.500) [8 per cell]

Values from the calculation:
Energy of formation from the pure elements (eV/atom): -0.51

18.
PrGa2Ru | PBE | optimized geometry

Lattice parameters (Å, degrees): 4.2140 4.2140 10.7500 90.00 90.00 120.00
Space group P6_3/mmc (No. 194)
Inequivalent atoms, fractional coordinates:
Pr (0.3333, 0.6667, 0.2500) [2 per cell]
Ga (0.3333, 0.6667, 0.5716) [4 per cell]
Ru (0.0000, 0.0000, 0.0000) [2 per cell]

Values from the calculation:
Energy of formation from the pure elements (eV/atom): -0.48

19.
Pr4GaRu3 | PBE | optimized geometry

Lattice parameters (Å, degrees): 4.367 4.415 10.614 90.00 90.00 90.00
Space group Pmm2 (No. 25)
Inequivalent atoms, fractional coordinates:
Pr (0.000, 0.000, 0.000) [1 per cell]
Pr (0.000, 0.500, 0.283) [1 per cell]
Pr (0.500, 0.000, 0.516) [1 per cell]
Pr (0.500, 0.500, 0.804) [1 per cell]
Ga (0.500, 0.000, 0.210) [1 per cell]
Ru (0.000, 0.000, 0.704) [1 per cell]
Ru (0.000, 0.500, 0.610) [1 per cell]
Ru (0.500, 0.500, 0.087) [1 per cell]

Values from the calculation:
Energy of formation from the pure elements (eV/atom): -0.23

20.
PrGa2Ru | PBE | optimized geometry

Lattice parameters (Å, degrees): 3.240 3.240 7.191 90.00 90.00 90.00
Space group P4/mmm (No. 123)
Inequivalent atoms, fractional coordinates:
Pr (0.000, 0.000, 0.000) [1 per cell]
Ga (0.500, 0.500, 0.312) [2 per cell]
Ru (0.000, 0.000, 0.500) [1 per cell]

Values from the calculation:
Energy of formation from the pure elements (eV/atom): -0.39

21.
Pr4GaRu | PBE | optimized geometry

Lattice parameters (Å, degrees): 9.057 13.882 6.392 90.00 118.94 90.00
Space group C2/c (No. 15)
Inequivalent atoms, fractional coordinates:
Pr (0.119, 0.181, 0.085) [8 per cell]
Pr (0.214, 0.434, 0.314) [8 per cell]
Ga (0.000, 0.373, 0.750) [4 per cell]
Ru (0.000, 0.001, 0.250) [4 per cell]

Values from the calculation:
Energy of formation from the pure elements (eV/atom): -0.28